This record from the Alexandria database describes an optimized crystal structure of Y3ErRu2. The functional is PBE.

## Properties
total energy = -7.31 eV per atom

a b c (Å): 6.709 13.499 7.045
angles (deg): 90.00 90.00 90.00
Space group Ibam (No. 72)
Symmetry-distinct sites (fractional):
Y  0.000  0.000  0.250
Y  0.000  0.266  0.250
Er  0.000  0.500  0.000
Ru  0.223  0.134  0.000

This record from the Alexandria database describes an optimized crystal structure of Y5Er2Ru5. The functional is PBE.

## Properties
total energy = -7.53 eV per atom

a b c (Å): 4.8542 4.8542 39.1549
angles (deg): 90.00 90.00 120.00
Space group R-3m (No. 166, hexagonal axes)
Symmetry-distinct sites (fractional):
Y  0.0000  0.0000  0.0000
Y  0.0000  0.0000  0.1905
Y  0.0000  0.0000  0.2839
Er  0.0000  0.0000  0.4281
Ru  0.0000  0.0000  0.1133
Ru  0.0000  0.0000  0.3552
Ru  0.0000  0.0000  0.5000

This record from the Alexandria database describes an optimized crystal structure of YEr2Ru3. The functional is PBE.

## Properties
distance to the lowest polymorph of the same formula = 2 kJ/mol of formula units
total energy = -7.58 eV per atom

a b c (Å): 4.777 14.337 3.395
angles (deg): 90.00 90.00 90.00
Space group Cmmm (No. 65)
Symmetry-distinct sites (fractional):
Y  0.000  0.000  0.000
Er  0.000  0.333  0.000
Ru  0.000  0.169  0.500
Ru  0.000  0.500  0.500

This record from the Alexandria database describes an optimized crystal structure of Y2Er2Ru. The functional is PBE.

## Properties
total energy = -6.44 eV per atom

a b c (Å): 7.335 11.857 7.280
angles (deg): 90.00 115.58 90.00
Space group C2/m (No. 12)
Symmetry-distinct sites (fractional):
Y  0.048  0.222  0.253
Er  0.228  0.500  0.894
Er  0.244  0.000  0.600
Ru  0.000  0.375  0.500

This record from the Alexandria database describes an optimized crystal structure of Y2ErRu. The functional is PBE.

## Properties
distance to the lowest polymorph of the same formula = 180 kJ/mol of formula units
total energy = -6.55 eV per atom

a b c (Å): 3.4935 3.4935 31.9240
angles (deg): 90.00 90.00 120.00
Space group R-3m (No. 166, hexagonal axes)
Symmetry-distinct sites (fractional):
Y  0.0000  0.0000  0.1064
Er  0.0000  0.0000  0.0000
Ru  0.0000  0.0000  0.5000

This record from the Alexandria database describes an optimized crystal structure of Y2ErRu2. The functional is PBE.

## Properties
distance to the lowest polymorph of the same formula = 46 kJ/mol of formula units
total energy = -7.43 eV per atom

a b c (Å): 5.493 4.392 10.175
angles (deg): 90.00 97.02 90.00
Space group P2_1/m (No. 11)
Symmetry-distinct sites (fractional):
Y  0.109  0.250  0.383
Y  0.248  0.250  0.027
Er  0.420  0.250  0.715
Ru  0.259  0.750  0.844
Ru  0.370  0.750  0.545

This record from the Alexandria database describes an optimized crystal structure of YErRu. The functional is PBE.

## Properties
total energy = -7.05 eV per atom

a b c (Å): 6.742 6.742 6.742
angles (deg): 90.00 90.00 90.00
Space group F-43m (No. 216)
Symmetry-distinct sites (fractional):
Y  0.000  0.000  0.000
Er  0.000  0.000  0.500
Ru  0.250  0.250  0.750

This record from the Alexandria database describes an optimized crystal structure of YEr2Ru9. The functional is PBE.

## Properties
total energy = -8.40 eV per atom

a b c (Å): 5.2589 5.2589 26.0661
angles (deg): 90.00 90.00 120.00
Space group R-3m (No. 166, hexagonal axes)
Symmetry-distinct sites (fractional):
Y  0.0000  0.0000  0.0000
Er  0.0000  0.0000  0.1397
Ru  0.0000  0.0000  0.3379
Ru  0.0000  0.0000  0.5000
Ru  0.0099  0.5050  0.9168

This record from the Alexandria database describes an optimized crystal structure of YEr3Ru4. The functional is PBE.

## Properties
total energy = -7.51 eV per atom

a b c (Å): 4.776 4.776 6.776
angles (deg): 90.00 90.00 90.00
Space group P4/mmm (No. 123)
Symmetry-distinct sites (fractional):
Y  0.000  0.000  0.000
Er  0.000  0.000  0.500
Er  0.500  0.500  0.000
Er  0.500  0.500  0.500
Ru  0.000  0.500  0.253

This record from the Alexandria database describes an optimized crystal structure of Y2ErRu. The functional is PBE.

## Properties
distance to the lowest polymorph of the same formula = 8 kJ/mol of formula units
total energy = -6.99 eV per atom

a b c (Å): 3.911 11.881 9.129
angles (deg): 90.00 90.00 90.00
Space group Cmcm (No. 63)
Symmetry-distinct sites (fractional):
Y  0.000  0.142  0.067
Er  0.000  0.423  0.250
Ru  0.000  0.241  0.750

This record from the Alexandria database describes an optimized crystal structure of Y3Er4Ru4. The functional is PBE.

## Properties
total energy = -7.13 eV per atom

a b c (Å): 3.540 8.875 16.104
angles (deg): 90.00 90.00 90.00
Space group Immm (No. 71)
Symmetry-distinct sites (fractional):
Y  0.000  0.000  0.000
Y  0.000  0.500  0.099
Er  0.000  0.309  0.335
Ru  0.000  0.000  0.255
Ru  0.000  0.224  0.500

Q: total energy of number 4 (Y2Er2Ru)?
A: -6.44 eV per atom

Q: The lowest total energy belongs to which entry?
A: YEr2Ru9

Q: What is the formula in the ninth record?
A: YEr3Ru4